# 1
TmHfHg after structural relaxation. Source: the Open Quantum Materials Database, functional PBE.

Calculated values
**Electronic total energy**: -0.34189 Ry per atom
**ΔH_f (0 K)**: 0.2576 eV per atom

```
3
Lattice="0.000 3.438 3.438 3.438 0.000 3.438 3.438 3.438 0.000" Properties=species:S:1:pos:R:3 pbc="T T T"
Hf 1.719 1.719 1.719
Hg 0.000 0.000 0.000
Tm 5.157 5.157 5.157
```

=====

# 2
NaSrZr after structural relaxation. Source: the Open Quantum Materials Database, functional PBE.

Calculated values
**Electronic total energy**: -0.19113 Ry per atom

```
3
Lattice="0.010 0.640 5.610 2.207 4.658 2.307 -3.378 3.829 2.411" Properties=species:S:1:pos:R:3 pbc="T T T"
Na -0.290 2.282 2.582
Sr -0.870 6.845 7.746
Zr 0.000 0.000 0.000
```

=====

# 3
LaAgPbS3 after structural relaxation. Source: the Open Quantum Materials Database, functional PBE.

Calculated values
**Electronic total energy**: -0.37046 Ry per atom

```
12
Lattice="-4.251 1.956 -7.991 -3.873 -2.117 -8.141 -6.267 -0.786 5.583" Properties=species:S:1:pos:R:3 pbc="T T T"
Ag -5.523 -0.247 -7.218
Ag -8.867 -0.700 -3.331
La -1.915 -0.100 -2.120
La -12.476 -0.848 -8.429
Pb -9.757 -0.478 -11.641
Pb -4.634 -0.470 1.092
S 0.000 0.000 0.000
S -3.574 -0.167 -4.486
S -7.585 -0.372 -9.036
S -7.195 -0.474 -5.274
S -6.806 -0.576 -1.513
S -10.817 -0.781 -6.063
```

=====

# 4
PaAgB after structural relaxation. Source: the Open Quantum Materials Database, functional PBE.

Calculated values
**Electronic total energy**: -0.39153 Ry per atom

```
3
Lattice="-0.185 -4.154 1.551 -3.667 -2.429 -0.592 0.039 -3.426 -2.821" Properties=species:S:1:pos:R:3 pbc="T T T"
Ag 0.000 0.000 0.000
B -0.953 -2.502 -0.466
Pa -2.860 -7.506 -1.397
```

=====

# 5
TaAlFeCu after structural relaxation. Source: the Open Quantum Materials Database, functional PBE.

Calculated values
**Electronic total energy**: -0.49822 Ry per atom

```
4
Lattice="-3.595 0.729 2.236 -3.406 1.771 -1.928 -3.511 -2.359 -0.749" Properties=species:S:1:pos:R:3 pbc="T T T"
Al 0.000 0.000 0.000
Cu -5.257 0.070 -0.221
Fe -7.885 0.106 -0.331
Ta -2.628 0.035 -0.110
```

=====

# 6
HfBeNO after structural relaxation. Source: the Open Quantum Materials Database, functional PBE.

Calculated values
**Electronic total energy**: -0.64976 Ry per atom

```
16
Lattice="-1.519 -1.612 -3.878 -3.025 -2.591 2.262 -4.948 5.480 -0.341" Properties=species:S:1:pos:R:3 pbc="T T T"
Be -5.290 -0.862 -2.608
Be -5.509 -0.895 0.063
Be -4.679 1.432 -3.801
Be -4.899 1.400 -1.130
Hf -0.789 0.675 -0.246
Hf -3.037 -1.406 -1.072
Hf -5.858 3.318 0.640
Hf -8.105 1.237 -0.187
N -1.718 0.050 -2.199
N -2.444 -0.416 0.850
N -6.454 2.324 -1.290
N -7.180 1.859 1.759
O -4.819 -0.181 -1.202
O -5.042 -0.216 1.471
O -4.041 1.927 -2.384
O -4.263 1.893 0.290
```

=====

# 7
KAs2OsO8 after structural relaxation. Source: the Open Quantum Materials Database, functional PBE.

Calculated values
**Electronic total energy**: -0.46055 Ry per atom

```
12
Lattice="4.895 0.000 0.000 -2.447 4.239 0.000 0.000 0.000 8.312" Properties=species:S:1:pos:R:3 pbc="T T T"
As 2.447 1.413 2.355
As 0.000 2.826 5.957
K 0.000 0.000 0.000
O 2.447 1.413 0.702
O 3.326 0.037 2.983
O 0.817 1.340 2.983
O 3.200 2.862 2.983
O -0.752 1.377 5.329
O 1.631 2.899 5.329
O -0.879 4.202 5.329
O 0.000 2.826 7.610
Os 0.000 0.000 4.156
```

=====

# 8
LiPrPa after structural relaxation. Source: the Open Quantum Materials Database, functional PBE.

Calculated values
**Electronic total energy**: -0.31354 Ry per atom

```
3
Lattice="0.000 3.516 3.516 3.516 0.000 3.516 3.516 3.516 0.000" Properties=species:S:1:pos:R:3 pbc="T T T"
Li 1.758 1.758 1.758
Pa 0.000 0.000 0.000
Pr 5.273 5.273 5.273
```

=====

| no. | total moment (μB/cell) |
| --- | --- |
| 1 | 0.97 |
| 2 | 3.41 |
| 3 | 0.00 |
| 4 | 0.83 |
| 5 | 1.69 |
| 6 | 0.00 |
| 7 | 3.00 |
| 8 | 1.40 |